1.
Material: Ba2Mg3ZnCd12
Method: DFT, GGA-PBE
State: relaxed

It has space group R-3m (No. 166, hexagonal axes), with a = 6.9468 Å, b = 6.9468 Å, c = 35.7817 Å, α = 90.00°, β = 90.00° and γ = 120.00°. The distinct sites, in fractional coordinates, are Ba at (0.0000, 0.0000, 0.1443), Mg at (0.0000, 0.5000, 0.0000), Zn at (0.0000, 0.0000, 0.5000), Cd at (0.0236, 0.5118, 0.1060) and Cd at (0.0503, 0.5252, 0.6138).

***

2.
Material: Ba2Mg4ZnCd3
Method: DFT, GGA-PBE
State: relaxed

It has space group P-4m2 (No. 115), with a = 4.7757 Å, b = 4.7757 Å, c = 12.7904 Å, α = 90.00°, β = 90.00° and γ = 90.00°. The distinct sites, in fractional coordinates, are Ba at (0.0000, 0.5000, 0.2427), Mg at (0.0000, 0.0000, 0.5000), Mg at (0.0000, 0.5000, 0.8747), Mg at (0.5000, 0.5000, 0.5000), Zn at (0.5000, 0.5000, 0.0000), Cd at (0.0000, 0.0000, 0.0000) and Cd at (0.0000, 0.5000, 0.6423).

***

3.
Material: Ba2Mg12ZnCd3
Method: DFT, GGA-PBE
State: relaxed

It has space group R-3m (No. 166, hexagonal axes), with a = 7.6204 Å, b = 7.6204 Å, c = 31.2536 Å, α = 90.00°, β = 90.00° and γ = 120.00°. The distinct sites, in fractional coordinates, are Ba at (0.0000, 0.0000, 0.1503), Mg at (0.0585, 0.5293, 0.0980), Mg at (0.0705, 0.5352, 0.6193), Zn at (0.0000, 0.0000, 0.5000) and Cd at (0.0000, 0.5000, 0.0000).

***

4.
Material: BaMgZnCd2
Method: DFT, GGA-PBE
State: relaxed

The calculation puts the energy above the most stable polymorph in this dataset at 0.000 eV per atom.

It has space group Imm2 (No. 44), with a = 4.6473 Å, b = 4.6518 Å, c = 12.7772 Å, α = 90.00°, β = 90.00° and γ = 90.00°. The distinct sites, in fractional coordinates, are Ba at (0.0000, 0.0000, 0.0000), Mg at (0.0000, 0.5000, 0.7594), Zn at (0.0000, 0.0000, 0.3920), Cd at (0.0000, 0.0000, 0.6134) and Cd at (0.0000, 0.5000, 0.2624).

***

5.
Material: BaMg4ZnCd2
Method: DFT, GGA-PBE
State: relaxed

It has space group R-3m (No. 166, hexagonal axes), with a = 4.8717 Å, b = 4.8717 Å, c = 30.5342 Å, α = 90.00°, β = 90.00° and γ = 120.00°. The distinct sites, in fractional coordinates, are Ba at (0.0000, 0.0000, 0.0000), Mg at (0.0000, 0.0000, 0.1362), Mg at (0.0000, 0.0000, 0.4108), Zn at (0.0000, 0.0000, 0.5000) and Cd at (0.0000, 0.0000, 0.2460).

***

6.
Material: Ba2MgZnCd6
Method: DFT, GGA-PBE
State: relaxed

It has space group C2/m (No. 12), with a = 10.7145 Å, b = 10.7935 Å, c = 7.5746 Å, α = 90.00°, β = 134.79° and γ = 90.00°. The distinct sites, in fractional coordinates, are Ba at (0.0000, 0.2499, 0.0000), Mg at (0.0000, 0.0000, 0.5000), Zn at (0.0000, 0.5000, 0.5000), Cd at (0.0000, 0.2563, 0.5000), Cd at (0.2435, 0.5000, 0.9872) and Cd at (0.2436, 0.5000, 0.4997).

***

7.
Material: BaMg2ZnCd4
Method: DFT, GGA-PBE
State: relaxed

It has space group R-3m (No. 166, hexagonal axes), with a = 4.8343 Å, b = 4.8343 Å, c = 30.9744 Å, α = 90.00°, β = 90.00° and γ = 120.00°. The distinct sites, in fractional coordinates, are Ba at (0.0000, 0.0000, 0.0000), Mg at (0.0000, 0.0000, 0.2370), Zn at (0.0000, 0.0000, 0.5000), Cd at (0.0000, 0.0000, 0.1332) and Cd at (0.0000, 0.0000, 0.4057).

***

8.
Material: Ba2MgZn3Cd4
Method: DFT, GGA-PBE
State: relaxed

It has space group P-4m2 (No. 115), with a = 4.6023 Å, b = 4.6023 Å, c = 12.6338 Å, α = 90.00°, β = 90.00° and γ = 90.00°. The distinct sites, in fractional coordinates, are Ba at (0.0000, 0.5000, 0.2429), Mg at (0.0000, 0.0000, 0.5000), Zn at (0.0000, 0.5000, 0.8652), Zn at (0.5000, 0.5000, 0.5000), Cd at (0.0000, 0.0000, 0.0000), Cd at (0.0000, 0.5000, 0.6395) and Cd at (0.5000, 0.5000, 0.0000).

***

9.
Material: BaMgZn2Cd4
Method: DFT, GGA-PBE
State: relaxed

It has space group R-3m (No. 166, hexagonal axes), with a = 4.6822 Å, b = 4.6822 Å, c = 31.7444 Å, α = 90.00°, β = 90.00° and γ = 120.00°. The distinct sites, in fractional coordinates, are Ba at (0.0000, 0.0000, 0.0000), Mg at (0.0000, 0.0000, 0.5000), Zn at (0.0000, 0.0000, 0.2332), Cd at (0.0000, 0.0000, 0.1278) and Cd at (0.0000, 0.0000, 0.4047).

***

10.
Material: Ba2Mg12Zn3Cd
Method: DFT, GGA-PBE
State: relaxed

It has space group R-3m (No. 166, hexagonal axes), with a = 9.5866 Å, b = 9.5866 Å, c = 21.3287 Å, α = 90.00°, β = 90.00° and γ = 120.00°. The distinct sites, in fractional coordinates, are Ba at (0.0000, 0.0000, 0.1046), Mg at (0.0111, 0.5055, 0.1221), Mg at (0.0667, 0.5333, 0.3576), Zn at (0.0000, 0.5000, 0.0000) and Cd at (0.0000, 0.0000, 0.5000).

***

11.
Material: Ba2MgZnCd
Method: DFT, GGA-PBE
State: relaxed

It has space group P4/mmm (No. 123), with a = 6.4146 Å, b = 6.4146 Å, c = 5.0144 Å, α = 90.00°, β = 90.00° and γ = 90.00°. The distinct sites, in fractional coordinates, are Ba at (0.0000, 0.5000, 0.0000), Mg at (0.0000, 0.0000, 0.5000), Zn at (0.5000, 0.5000, 0.0000) and Cd at (0.5000, 0.5000, 0.5000).

***

12.
Material: BaMg2ZnCd2
Method: DFT, GGA-PBE
State: relaxed

It has space group I4/mmm (No. 139), with a = 5.4196 Å, b = 5.4196 Å, c = 12.7775 Å, α = 90.00°, β = 90.00° and γ = 90.00°. The distinct sites, in fractional coordinates, are Ba at (0.0000, 0.0000, 0.0000), Mg at (0.0000, 0.5000, 0.2500), Zn at (0.0000, 0.0000, 0.5000) and Cd at (0.0000, 0.0000, 0.3007).

***

| no. | ΔH_f (0 K) (kJ per mole of atoms) | spin magnetization (μB per atom) |
| --- | --- | --- |
| 1 | -4 | 0.000 |
| 2 | -16 | 0.000 |
| 3 | 8 | 0.000 |
| 4 | -22 | 0.000 |
| 5 | -11 | 0.000 |
| 6 | -8 | 0.000 |
| 7 | -11 | 0.000 |
| 8 | -21 | 0.000 |
| 9 | -10 | 0.000 |
| 10 | 21 | 0.000 |
| 11 | 1 | 0.000 |
| 12 | 2 | 0.000 |